# Al2Au2Br (GGA-PBEsol, optimized geometry)
data_Al2Au2Br
_cell_length_a 6.256
_cell_length_b 6.256
_cell_length_c 6.256
_cell_angle_alpha 139.30
_cell_angle_beta 139.30
_cell_angle_gamma 58.92
_space_group_name_H-M_alt 'P 1'
_space_group_IT_number 1
loop_
_space_group_symop_operation_xyz
'x,y,z'
loop_
_atom_site_label
_atom_site_type_symbol
_atom_site_fract_x
_atom_site_fract_y
_atom_site_fract_z
_atom_site_occupancy
Al1 Al 0.250 0.750 0.500 1
Al2 Al 0.750 0.250 0.500 1
Au1 Au 0.127 0.127 0.000 1
Au2 Au 0.873 0.873 0.000 1
Br1 Br 0.500 0.500 0.000 1
# Total magnetization ... 0.00 μB per formula unit
# DFT total energy ... -3.7415 eV per atom
# Energy relative to the elements, uncorrected ... -0.16 eV/atom
# Crystal system ... tetragonal
# Space group ... I4/mmm

# AlAu2Br (GGA-PBEsol, optimized geometry)
data_AlAu2Br
_cell_length_a 5.048
_cell_length_b 5.048
_cell_length_c 5.048
_cell_angle_alpha 129.25
_cell_angle_beta 129.25
_cell_angle_gamma 74.61
_space_group_name_H-M_alt 'P 1'
_space_group_IT_number 1
loop_
_space_group_symop_operation_xyz
'x,y,z'
loop_
_atom_site_label
_atom_site_type_symbol
_atom_site_fract_x
_atom_site_fract_y
_atom_site_fract_z
_atom_site_occupancy
Al1 Al 0.000 0.000 0.000 1
Au1 Au 0.500 0.500 0.000 1
Au2 Au 0.750 0.250 0.500 1
Br1 Br 0.250 0.750 0.500 1
# Total magnetization ... 0.00 μB per formula unit
# DFT total energy ... -3.1573 eV per atom
# Energy relative to the elements, uncorrected ... 0.30 eV/atom
# Crystal system ... tetragonal
# Space group ... I-4m2

# AlAuBr (GGA-PBEsol, optimized geometry)
data_AlAuBr
_cell_length_a 4.689
_cell_length_b 4.689
_cell_length_c 4.689
_cell_angle_alpha 60.00
_cell_angle_beta 60.00
_cell_angle_gamma 60.00
_space_group_name_H-M_alt 'P 1'
_space_group_IT_number 1
loop_
_space_group_symop_operation_xyz
'x,y,z'
loop_
_atom_site_label
_atom_site_type_symbol
_atom_site_fract_x
_atom_site_fract_y
_atom_site_fract_z
_atom_site_occupancy
Al1 Al 0.000 0.000 0.000 1
Au1 Au 0.500 0.500 0.500 1
Br1 Br 0.250 0.250 0.250 1
# Total magnetization ... 0.00 μB per formula unit
# DFT total energy ... -2.7145 eV per atom
# Energy relative to the elements, uncorrected ... 0.58 eV/atom
# Crystal system ... cubic
# Space group ... F-43m

# Al3AuC (GGA-PBEsol, optimized geometry)
data_Al3AuC
_cell_length_a 4.733
_cell_length_b 4.733
_cell_length_c 4.733
_cell_angle_alpha 90.00
_cell_angle_beta 90.00
_cell_angle_gamma 90.00
_space_group_name_H-M_alt 'P 1'
_space_group_IT_number 1
loop_
_space_group_symop_operation_xyz
'x,y,z'
loop_
_atom_site_label
_atom_site_type_symbol
_atom_site_fract_x
_atom_site_fract_y
_atom_site_fract_z
_atom_site_occupancy
Al1 Al 0.000 0.000 0.500 1
Al2 Al 0.000 0.500 0.000 1
Al3 Al 0.500 0.000 0.000 1
Au1 Au 0.000 0.000 0.000 1
C1 C 0.500 0.500 0.500 1
# Total magnetization ... 1.91 μB per formula unit
# DFT formation energy ... 32.300 kcal/mol of atoms
# DFT total energy ... -3.7678 eV per atom
# Crystal system ... cubic
# Space group ... Pm-3m

# NaAlAu2C (GGA-PBEsol, optimized geometry)
data_NaAlAu2C
_cell_length_a 4.630
_cell_length_b 4.630
_cell_length_c 3.802
_cell_angle_alpha 90.00
_cell_angle_beta 90.00
_cell_angle_gamma 90.00
_space_group_name_H-M_alt 'P 1'
_space_group_IT_number 1
loop_
_space_group_symop_operation_xyz
'x,y,z'
loop_
_atom_site_label
_atom_site_type_symbol
_atom_site_fract_x
_atom_site_fract_y
_atom_site_fract_z
_atom_site_occupancy
Na1 Na 0.000 0.000 0.000 1
Al1 Al 0.500 0.500 0.000 1
Au1 Au 0.000 0.500 0.500 1
Au2 Au 0.500 0.000 0.500 1
C1 C 0.500 0.500 0.500 1
# Total magnetization ... 0.00 μB per formula unit
# DFT formation energy ... 10.092 kcal/mol of atoms
# DFT total energy ... -4.1590 eV per atom
# Crystal system ... tetragonal
# Space group ... P4/mmm

# Al2ReAuC (GGA-PBEsol, optimized geometry)
data_Al2ReAuC
_cell_length_a 4.096
_cell_length_b 4.096
_cell_length_c 3.954
_cell_angle_alpha 90.00
_cell_angle_beta 90.00
_cell_angle_gamma 90.00
_space_group_name_H-M_alt 'P 1'
_space_group_IT_number 1
loop_
_space_group_symop_operation_xyz
'x,y,z'
loop_
_atom_site_label
_atom_site_type_symbol
_atom_site_fract_x
_atom_site_fract_y
_atom_site_fract_z
_atom_site_occupancy
Al1 Al 0.000 0.500 0.000 1
Al2 Al 0.500 0.000 0.000 1
Re1 Re 0.000 0.000 0.500 1
Au1 Au 0.500 0.500 0.500 1
C1 C 0.000 0.000 0.000 1
# Total magnetization ... 0.00 μB per formula unit
# DFT formation energy ... 2.756 kcal/mol of atoms
# DFT total energy ... -6.8970 eV per atom
# Crystal system ... tetragonal
# Space group ... P4/mmm

# Al2RuAuC (GGA-PBEsol, optimized geometry)
data_Al2RuAuC
_cell_length_a 4.637
_cell_length_b 4.637
_cell_length_c 5.013
_cell_angle_alpha 90.00
_cell_angle_beta 90.00
_cell_angle_gamma 90.00
_space_group_name_H-M_alt 'P 1'
_space_group_IT_number 1
loop_
_space_group_symop_operation_xyz
'x,y,z'
loop_
_atom_site_label
_atom_site_type_symbol
_atom_site_fract_x
_atom_site_fract_y
_atom_site_fract_z
_atom_site_occupancy
Al1 Al 0.000 0.500 0.000 1
Al2 Al 0.500 0.000 0.000 1
Ru1 Ru 0.000 0.000 0.500 1
Au1 Au 0.000 0.000 0.000 1
C1 C 0.500 0.500 0.500 1
# Total magnetization ... 1.41 μB per formula unit
# DFT formation energy ... 49.887 kcal/mol of atoms
# DFT total energy ... -4.2213 eV per atom
# Crystal system ... tetragonal
# Space group ... P4/mmm

# CaAl2Au (GGA-PBEsol, optimized geometry)
data_CaAl2Au
_cell_length_a 4.165
_cell_length_b 4.165
_cell_length_c 4.428
_cell_angle_alpha 90.00
_cell_angle_beta 90.00
_cell_angle_gamma 90.00
_space_group_name_H-M_alt 'P 1'
_space_group_IT_number 1
loop_
_space_group_symop_operation_xyz
'x,y,z'
loop_
_atom_site_label
_atom_site_type_symbol
_atom_site_fract_x
_atom_site_fract_y
_atom_site_fract_z
_atom_site_occupancy
Ca1 Ca 0.000 0.000 0.000 1
Al1 Al 0.000 0.500 0.500 1
Al2 Al 0.500 0.000 0.500 1
Au1 Au 0.500 0.500 0.000 1
# Total magnetization ... 0.00 μB per formula unit
# DFT formation energy ... -7.261 kcal/mol of atoms
# DFT total energy ... -3.8749 eV per atom
# Crystal system ... tetragonal
# Space group ... P4/mmm

# CaAl2Au2 (GGA-PBEsol, optimized geometry)
data_CaAl2Au2
_cell_length_a 5.982
_cell_length_b 5.982
_cell_length_c 5.982
_cell_angle_alpha 136.30
_cell_angle_beta 136.30
_cell_angle_gamma 63.52
_space_group_name_H-M_alt 'P 1'
_space_group_IT_number 1
loop_
_space_group_symop_operation_xyz
'x,y,z'
loop_
_atom_site_label
_atom_site_type_symbol
_atom_site_fract_x
_atom_site_fract_y
_atom_site_fract_z
_atom_site_occupancy
Ca1 Ca 0.000 0.000 0.000 1
Al1 Al 0.373 0.373 0.000 1
Al2 Al 0.627 0.627 0.000 1
Au1 Au 0.250 0.750 0.500 1
Au2 Au 0.750 0.250 0.500 1
# Total magnetization ... 0.00 μB per formula unit
# DFT formation energy ... -12.968 kcal/mol of atoms
# DFT total energy ... -4.1952 eV per atom
# Crystal system ... tetragonal
# Space group ... I4/mmm

# CaAl3Au (GGA-PBEsol, optimized geometry)
data_CaAl3Au
_cell_length_a 6.485
_cell_length_b 6.485
_cell_length_c 6.485
_cell_angle_alpha 142.79
_cell_angle_beta 142.79
_cell_angle_gamma 53.65
_space_group_name_H-M_alt 'P 1'
_space_group_IT_number 1
loop_
_space_group_symop_operation_xyz
'x,y,z'
loop_
_atom_site_label
_atom_site_type_symbol
_atom_site_fract_x
_atom_site_fract_y
_atom_site_fract_z
_atom_site_occupancy
Ca1 Ca 0.000 0.000 0.000 1
Al1 Al 0.244 0.744 0.500 1
Al2 Al 0.391 0.391 0.000 1
Al3 Al 0.744 0.244 0.500 1
Au1 Au 0.608 0.608 0.000 1
# Total magnetization ... 0.00 μB per formula unit
# DFT formation energy ... -11.497 kcal/mol of atoms
# DFT total energy ... -4.1649 eV per atom
# Crystal system ... tetragonal
# Space group ... I4mm

# CaAl3Au (GGA-PBEsol, optimized geometry)
data_CaAl3Au
_cell_length_a 5.372
_cell_length_b 5.372
_cell_length_c 5.372
_cell_angle_alpha 90.00
_cell_angle_beta 90.00
_cell_angle_gamma 90.00
_space_group_name_H-M_alt 'P 1'
_space_group_IT_number 1
loop_
_space_group_symop_operation_xyz
'x,y,z'
loop_
_atom_site_label
_atom_site_type_symbol
_atom_site_fract_x
_atom_site_fract_y
_atom_site_fract_z
_atom_site_occupancy
Ca1 Ca 0.000 0.000 0.000 1
Al1 Al 0.000 0.000 0.500 1
Al2 Al 0.000 0.500 0.000 1
Al3 Al 0.500 0.000 0.000 1
Au1 Au 0.500 0.500 0.500 1
# Total magnetization ... 0.00 μB per formula unit
# DFT formation energy ... 34.123 kcal/mol of atoms
# DFT total energy ... -2.1867 eV per atom
# Crystal system ... cubic
# Space group ... Pm-3m

# AlCd2Au (GGA-PBEsol, optimized geometry)
data_AlCd2Au
_cell_length_a 9.789
_cell_length_b 9.789
_cell_length_c 9.789
_cell_angle_alpha 17.51
_cell_angle_beta 17.51
_cell_angle_gamma 17.51
_space_group_name_H-M_alt 'P 1'
_space_group_IT_number 1
loop_
_space_group_symop_operation_xyz
'x,y,z'
loop_
_atom_site_label
_atom_site_type_symbol
_atom_site_fract_x
_atom_site_fract_y
_atom_site_fract_z
_atom_site_occupancy
Al1 Al 0.000 0.000 0.000 1
Cd1 Cd 0.249 0.249 0.249 1
Cd2 Cd 0.751 0.751 0.751 1
Au1 Au 0.500 0.500 0.500 1
# Total magnetization ... 0.00 μB per formula unit
# DFT formation energy ... 0.104 kcal/mol of atoms
# DFT total energy ... -2.5979 eV per atom
# Crystal system ... trigonal
# Space group ... R-3m

# Al2CdAu (GGA-PBEsol, optimized geometry)
data_Al2CdAu
_cell_length_a 6.594
_cell_length_b 6.594
_cell_length_c 6.594
_cell_angle_alpha 154.84
_cell_angle_beta 141.89
_cell_angle_gamma 46.22
_space_group_name_H-M_alt 'P 1'
_space_group_IT_number 1
loop_
_space_group_symop_operation_xyz
'x,y,z'
loop_
_atom_site_label
_atom_site_type_symbol
_atom_site_fract_x
_atom_site_fract_y
_atom_site_fract_z
_atom_site_occupancy
Al1 Al 0.000 0.000 0.000 1
Al2 Al 0.729 0.229 0.500 1
Cd1 Cd 0.405 0.405 0.000 1
Au1 Au 0.183 0.683 0.500 1
# Total magnetization ... 0.00 μB per formula unit
# DFT formation energy ... -1.766 kcal/mol of atoms
# DFT total energy ... -3.4026 eV per atom
# Crystal system ... orthorhombic
# Space group ... Imm2

# AlCd2Au (GGA-PBEsol, optimized geometry)
data_AlCd2Au
_cell_length_a 3.266
_cell_length_b 4.099
_cell_length_c 5.528
_cell_angle_alpha 90.00
_cell_angle_beta 90.00
_cell_angle_gamma 90.00
_space_group_name_H-M_alt 'P 1'
_space_group_IT_number 1
loop_
_space_group_symop_operation_xyz
'x,y,z'
loop_
_atom_site_label
_atom_site_type_symbol
_atom_site_fract_x
_atom_site_fract_y
_atom_site_fract_z
_atom_site_occupancy
Al1 Al 0.000 0.000 0.000 1
Cd1 Cd 0.500 0.500 0.250 1
Cd2 Cd 0.500 0.500 0.750 1
Au1 Au 0.000 0.000 0.500 1
# Total magnetization ... 0.00 μB per formula unit
# DFT formation energy ... -1.416 kcal/mol of atoms
# DFT total energy ... -2.6638 eV per atom
# Crystal system ... orthorhombic
# Space group ... Pmmm

# Al2CdAu (GGA-PBEsol, optimized geometry)
data_Al2CdAu
_cell_length_a 3.000
_cell_length_b 3.975
_cell_length_c 5.858
_cell_angle_alpha 90.00
_cell_angle_beta 90.00
_cell_angle_gamma 90.00
_space_group_name_H-M_alt 'P 1'
_space_group_IT_number 1
loop_
_space_group_symop_operation_xyz
'x,y,z'
loop_
_atom_site_label
_atom_site_type_symbol
_atom_site_fract_x
_atom_site_fract_y
_atom_site_fract_z
_atom_site_occupancy
Al1 Al 0.000 0.000 0.235 1
Al2 Al 0.000 0.000 0.765 1
Cd1 Cd 0.500 0.500 0.500 1
Au1 Au 0.500 0.500 0.000 1
# Total magnetization ... 0.00 μB per formula unit
# DFT formation energy ... -1.017 kcal/mol of atoms
# DFT total energy ... -3.3701 eV per atom
# Crystal system ... orthorhombic
# Space group ... Pmmm